## a
## ScTaW2 (SCAN)

Data for ScTaW2 at its PBEsol-relaxed geometry.

Cell and atoms, written as POSCAR:
```
ScTaW2
1.0
-1.878 1.532 1.203
-1.339 -0.362 -4.672
-2.870 -4.446 1.180
Sc Ta W
1 1 2
Direct
0.000 0.000 0.500 Sc
0.500 0.000 0.000 Ta
0.749 0.498 0.749 W
0.251 0.502 0.251 W
```

**Density of states at the Fermi level**: 3.67 states/eV per cell
**Crystal system**: monoclinic

***

## b
## ScTaW2 (SCAN)

Data for ScTaW2 at its PBEsol-relaxed geometry.

Cell and atoms, written as POSCAR:
```
ScTaW2
1.0
-2.038 -0.671 -1.631
-2.791 -0.447 3.672
-1.409 5.312 -0.425
Sc Ta W
1 1 2
Direct
0.500 0.500 0.000 Sc
0.500 0.500 0.500 Ta
0.000 0.000 0.750 W
0.000 0.000 0.250 W
```

**Density of states at the Fermi level**: 3.45 states/eV per cell
**Crystal system**: orthorhombic

***

Least stable structure: b

***

## a
## Sc2TaW (SCAN)

Data for Sc2TaW at its PBEsol-relaxed geometry.

Cell and atoms, written as POSCAR:
```
Sc2TaW
1.0
-4.348 0.073 1.779
-2.513 -3.963 0.225
-0.869 -1.997 4.163
Sc Ta W
2 1 1
Direct
0.250 0.250 0.250 Sc
0.750 0.750 0.750 Sc
0.000 0.000 0.000 Ta
0.500 0.500 0.500 W
```

**Density of states at the Fermi level**: 6.89 states/eV per cell
**Crystal system**: cubic

***

## b
## Sc2TaW (SCAN)

Data for Sc2TaW at its PBEsol-relaxed geometry.

Cell and atoms, written as POSCAR:
```
Sc2TaW
1.0
-1.349 1.423 2.209
0.246 -1.000 2.768
7.655 5.725 2.962
Sc Ta W
2 1 1
Direct
0.252 0.252 0.245 Sc
0.748 0.748 0.755 Sc
0.500 0.500 0.500 Ta
0.000 0.000 0.000 W
```

**Density of states at the Fermi level**: 4.21 states/eV per cell
**Crystal system**: trigonal

***

Least stable structure: a

***

## a
## ZrScTa2 (SCAN)

Data for ZrScTa2 at its PBEsol-relaxed geometry.

Cell and atoms, written as POSCAR:
```
ZrScTa2
1.0
4.782 0.000 0.000
2.391 4.141 0.000
2.391 1.380 3.904
Sc Ta Zr
1 2 1
Direct
0.250 0.250 0.250 Sc
0.000 0.000 0.000 Ta
0.750 0.750 0.750 Ta
0.500 0.500 0.500 Zr
```

**Density of states at the Fermi level**: 6.43 states/eV per cell
**Crystal system**: cubic

***

## b
## ZrScTa2 (SCAN)

Data for ZrScTa2 at its PBEsol-relaxed geometry.

Cell and atoms, written as POSCAR:
```
ZrScTa2
1.0
-1.408 0.042 2.485
1.129 -2.534 0.683
7.425 4.419 4.131
Sc Ta Zr
1 2 1
Direct
0.500 0.500 0.500 Sc
0.000 0.000 0.749 Ta
0.000 0.000 0.251 Ta
0.500 0.500 0.000 Zr
```

**Density of states at the Fermi level**: 5.15 states/eV per cell
**Crystal system**: tetragonal

***

Least stable structure: b

***

## a
## Sc5Tc (SCAN)

Data for Sc5Tc at its PBEsol-relaxed geometry.

Cell and atoms, written as POSCAR:
```
Sc5Tc
1.0
3.316 0.000 0.000
-1.658 5.528 -0.008
0.000 -2.743 6.995
Sc Tc
5 1
Direct
0.637 0.274 0.863 Sc
0.337 0.675 0.713 Sc
0.000 0.000 0.500 Sc
0.663 0.325 0.287 Sc
0.363 0.726 0.137 Sc
0.000 0.000 0.000 Tc
```

**Density of states at the Fermi level**: 6.97 states/eV per cell
**Crystal system**: monoclinic

***

## b
## Sc5Tc (SCAN)

Data for Sc5Tc at its PBEsol-relaxed geometry.

Cell and atoms, written as POSCAR:
```
Sc5Tc
1.0
-2.117 -2.294 1.556
2.915 -3.626 -1.380
4.919 1.854 5.519
Sc Tc
5 1
Direct
0.009 0.000 0.018 Sc
0.678 0.000 0.356 Sc
0.356 0.000 0.712 Sc
0.514 0.500 0.027 Sc
0.233 0.500 0.466 Sc
0.877 0.500 0.754 Tc
```

**Density of states at the Fermi level**: 5.04 states/eV per cell
**Crystal system**: orthorhombic

***

Least stable structure: b

***

## a
## ScTlTc2 (SCAN)

Data for ScTlTc2 at its PBEsol-relaxed geometry.

Cell and atoms, written as POSCAR:
```
ScTlTc2
1.0
3.293 0.000 0.000
0.000 4.511 0.000
-1.647 -2.256 4.561
Sc Tc Tl
1 2 1
Direct
0.000 0.500 0.000 Sc
0.741 0.741 0.482 Tc
0.259 0.259 0.518 Tc
0.500 0.000 0.000 Tl
```

**Density of states at the Fermi level**: 3.70 states/eV per cell
**Crystal system**: orthorhombic

***

## b
## ScTlTc2 (SCAN)

Data for ScTlTc2 at its PBEsol-relaxed geometry.

Cell and atoms, written as POSCAR:
```
ScTlTc2
1.0
3.014 0.000 0.016
0.000 4.013 0.000
-0.569 0.000 5.706
Sc Tc Tl
1 2 1
Direct
0.539 0.500 0.777 Sc
0.035 0.000 0.019 Tc
0.439 0.500 0.207 Tc
0.986 0.000 0.497 Tl
```

**Density of states at the Fermi level**: 2.40 states/eV per cell
**Crystal system**: monoclinic

***

Least stable structure: a

***

## a
## ScTl2Tc (SCAN)

Data for ScTl2Tc at its PBEsol-relaxed geometry.

Cell and atoms, written as POSCAR:
```
ScTl2Tc
1.0
3.045 0.000 0.003
0.000 4.610 0.000
-1.487 0.000 5.648
Sc Tc Tl
1 1 2
Direct
0.500 0.500 0.000 Sc
0.500 0.500 0.500 Tc
0.909 0.000 0.739 Tl
0.091 0.000 0.261 Tl
```

**Density of states at the Fermi level**: 2.23 states/eV per cell
**Crystal system**: monoclinic

***

## b
## ScTl2Tc (SCAN)

Data for ScTl2Tc at its PBEsol-relaxed geometry.

Cell and atoms, written as POSCAR:
```
ScTl2Tc
1.0
-0.062 -3.017 3.076
3.800 1.412 1.462
-3.811 3.416 0.256
Sc Tc Tl
1 1 2
Direct
0.500 0.500 0.000 Sc
0.000 0.000 0.000 Tc
0.750 0.250 0.500 Tl
0.250 0.750 0.500 Tl
```

**Density of states at the Fermi level**: 1.82 states/eV per cell
**Crystal system**: tetragonal

***

Least stable structure: a

***

## a
## Sc2TcW (SCAN)

Data for Sc2TcW at its PBEsol-relaxed geometry.

Cell and atoms, written as POSCAR:
```
Sc2TcW
1.0
3.123 0.000 0.000
0.000 3.123 0.000
0.000 0.000 7.553
Sc Tc W
2 1 1
Direct
0.000 0.000 0.959 Sc
0.500 0.500 0.302 Sc
0.000 0.000 0.525 Tc
0.500 0.500 0.714 W
```

**Density of states at the Fermi level**: 1.71 states/eV per cell
**Crystal system**: tetragonal

***

## b
## Sc2TcW (SCAN)

Data for Sc2TcW at its PBEsol-relaxed geometry.

Cell and atoms, written as POSCAR:
```
Sc2TcW
1.0
-2.264 1.453 -1.793
-2.911 -3.397 0.923
-1.470 2.261 3.687
Sc Tc W
2 1 1
Direct
0.000 0.000 0.000 Sc
0.500 0.000 0.500 Sc
0.500 0.500 0.000 Tc
0.000 0.500 0.500 W
```

**Density of states at the Fermi level**: 3.55 states/eV per cell
**Crystal system**: orthorhombic

***

## c
## Sc2TcW (SCAN)

Data for Sc2TcW at its PBEsol-relaxed geometry.

Cell and atoms, written as POSCAR:
```
Sc2TcW
1.0
2.925 0.000 0.000
1.463 2.533 0.000
1.463 0.844 9.607
Sc Tc W
2 1 1
Direct
0.906 0.906 0.282 Sc
0.094 0.094 0.718 Sc
0.500 0.500 0.500 Tc
0.000 0.000 0.000 W
```

**Density of states at the Fermi level**: 5.75 states/eV per cell
**Crystal system**: trigonal

***

Least stable structure: c

***

## a
## ScTcW2 (SCAN)

Data for ScTcW2 at its PBEsol-relaxed geometry.

Cell and atoms, written as POSCAR:
```
ScTcW2
1.0
3.737 0.000 0.000
0.000 3.737 0.000
0.000 0.000 4.641
Sc Tc W
1 1 2
Direct
0.500 0.500 0.500 Sc
0.000 0.000 0.500 Tc
0.000 0.500 0.000 W
0.500 0.000 0.000 W
```

**Density of states at the Fermi level**: 2.63 states/eV per cell
**Crystal system**: tetragonal

***

## b
## ScTcW2 (SCAN)

Data for ScTcW2 at its PBEsol-relaxed geometry.

Cell and atoms, written as POSCAR:
```
ScTcW2
1.0
-0.357 1.990 2.387
-4.328 0.244 -0.851
1.583 -4.666 2.077
Sc Tc W
1 1 2
Direct
0.000 0.500 0.000 Sc
0.500 0.000 0.000 Tc
0.763 0.763 0.525 W
0.237 0.237 0.475 W
```

**Density of states at the Fermi level**: 1.50 states/eV per cell
**Crystal system**: orthorhombic

***

Least stable structure: a